Here is LaCdPt2 after structural relaxation from the Alexandria database. Energies are from PBE.

Computed properties:
The value obtained for the energy relative to the elements is -0.632 eV/atom. As for the space-group type: No. 99. The calculation puts the total energy at -5.11 eV per atom.

a b c (Å): 3.986 3.986 5.716
angles (deg): 90.00 90.00 90.00
Atoms (fractional coordinates):
Cd: 0.000 0.000 0.436
Pt: 0.500 0.500 0.305
La: 0.500 0.500 0.802
Pt: 0.000 0.000 0.957